# YRe3Ir (PBE, relaxed)
data_YRe3Ir
_chemical_formula_sum 'Y1 Re3 Ir1'
_space_group_name_H-M_alt 'P 1'
_space_group_IT_number 1
_space_group_name_Hall 'P 1'
_cell_length_a 4.674
_cell_length_b 4.674
_cell_length_c 4.674
_cell_angle_alpha 90.00
_cell_angle_beta 90.00
_cell_angle_gamma 90.00
loop_
_atom_site_label
_atom_site_type_symbol
_atom_site_fract_x
_atom_site_fract_y
_atom_site_fract_z
Re1 Re 0.000 0.000 0.500
Ir1 Ir 0.500 0.500 0.500
Re2 Re 0.000 0.500 0.000
Re3 Re 0.500 0.000 0.000
Y1 Y 0.000 0.000 0.000
# Energy relative to the lowest polymorph listed for this composition in meV per atom: 1893.7
# Crystal system: cubic
# Energy in eV for the cell shown: -35.94
# Energy relative to the elements in meV per atom: 3347

=====

# Dy2MnTl3Se6 (PBE, relaxed)
data_Dy2MnTl3Se6
_chemical_formula_sum 'Dy2 Mn1 Tl3 Se6'
_space_group_name_H-M_alt 'P 1'
_space_group_IT_number 1
_space_group_name_Hall 'P 1'
_cell_length_a 7.043
_cell_length_b 7.043
_cell_length_c 8.044
_cell_angle_alpha 98.77
_cell_angle_beta 98.77
_cell_angle_gamma 119.32
loop_
_atom_site_label
_atom_site_type_symbol
_atom_site_fract_x
_atom_site_fract_y
_atom_site_fract_z
Tl1 Tl 0.500 0.500 0.500
Se1 Se 0.750 0.750 0.213
Tl2 Tl 0.825 0.175 0.500
Tl3 Tl 0.175 0.825 0.500
Se2 Se 0.064 0.372 0.193
Se3 Se 0.372 0.064 0.193
Se4 Se 0.250 0.250 0.787
Se5 Se 0.628 0.936 0.807
Mn1 Mn 0.000 0.000 0.000
Se6 Se 0.936 0.628 0.807
Dy1 Dy 0.335 0.665 0.000
Dy2 Dy 0.665 0.335 0.000
# Formation energy without anion corrections in eV per formula unit: -12.29
# Crystal system: monoclinic
# Energy in eV for the cell shown: -58.67